# 1
Here is a relaxed structure of NiTePb3 from Alexandria. Energies are from PBE-GGA.

a = 5.9862 Å, b = 5.9862 Å, c = 5.9862 Å
α = 90.00°, β = 90.00°, γ = 90.00°
Fractional positions:
1 Ni 0.0000 0.0000 0.0000
2 Te 0.5000 0.5000 0.5000
3 Pb 0.0000 0.5000 0.5000
4 Pb 0.5000 0.0000 0.5000
5 Pb 0.5000 0.5000 0.0000

Computed properties:
ΔE_f (raw)	5.30	eV/f.u.
distance to the lowest polymorph of the same formula	5.34	eV/f.u.

***

# 2
Here is a relaxed structure of Pr6Sb3Ir from Alexandria. Energies are from PBE-GGA.

a = 6.8466 Å, b = 8.6098 Å, c = 13.0146 Å
α = 90.00°, β = 120.93°, γ = 90.00°
Fractional positions:
1 Pr 0.0699 0.1932 0.4397
2 Pr 0.0699 0.3068 0.9397
3 Pr 0.2853 0.6626 0.4328
4 Pr 0.2853 0.8374 0.9328
5 Pr 0.3834 0.0430 0.2353
6 Pr 0.3834 0.4570 0.7353
7 Pr 0.6166 0.5430 0.2647
8 Pr 0.6166 0.9570 0.7647
9 Pr 0.7147 0.1626 0.0672
10 Pr 0.7147 0.3374 0.5672
11 Pr 0.9301 0.6932 0.0603
12 Pr 0.9301 0.8068 0.5603
13 Sb 0.1641 0.1177 0.7402
14 Sb 0.1641 0.3823 0.2402
15 Sb 0.5000 0.0000 0.5000
16 Sb 0.5000 0.5000 0.0000
17 Sb 0.8359 0.6177 0.7598
18 Sb 0.8359 0.8823 0.2598
19 Ir 0.0000 0.0000 0.0000
20 Ir 0.0000 0.5000 0.5000

Computed properties:
ΔE_f (raw)	-7.87	eV/f.u.

***

# 3
Here is a relaxed structure of Na2FePBr from Alexandria. Energies are from PBE-GGA.

a = 5.1957 Å, b = 5.1957 Å, c = 5.3064 Å
α = 90.00°, β = 90.00°, γ = 90.00°
Fractional positions:
1 Na 0.0000 0.5000 0.0000
2 Na 0.5000 0.0000 0.0000
3 Fe 0.0000 0.0000 0.5000
4 P 0.5000 0.5000 0.5000
5 Br 0.5000 0.5000 0.0000

Computed properties:
ΔE_f (raw)	3.51	eV/f.u.

***

# 4
Here is a relaxed structure of Na2SrPaS4 from Alexandria. Energies are from PBE-GGA.

a = 7.3701 Å, b = 7.3701 Å, c = 7.3701 Å
α = 134.54°, β = 134.54°, γ = 66.24°
Fractional positions:
1 Na 0.0000 0.0000 0.0000
2 Na 0.7500 0.2500 0.5000
3 Sr 0.2500 0.7500 0.5000
4 Pa 0.5000 0.5000 0.0000
5 S 0.0038 0.5038 0.5000
6 S 0.2843 0.2843 0.0000
7 S 0.4962 0.9962 0.5000
8 S 0.7157 0.7157 0.0000

Computed properties:
ΔE_f (raw)	-12.73	eV/f.u.

***

# 5
Here is a relaxed structure of NdTa4Ru5 from Alexandria. Energies are from PBE-GGA.

a = 3.1635 Å, b = 3.1635 Å, c = 17.1978 Å
α = 90.00°, β = 90.00°, γ = 90.00°
Fractional positions:
1 Nd 0.0000 0.0000 0.0000
2 Ta 0.0000 0.0000 0.2143
3 Ta 0.0000 0.0000 0.4059
4 Ta 0.0000 0.0000 0.5941
5 Ta 0.0000 0.0000 0.7857
6 Ru 0.5000 0.5000 0.1347
7 Ru 0.5000 0.5000 0.3155
8 Ru 0.5000 0.5000 0.5000
9 Ru 0.5000 0.5000 0.6845
10 Ru 0.5000 0.5000 0.8653

Computed properties:
formation energy from the elements	-0.335	eV per atom

***

# 6
Here is a relaxed structure of Ho3TiIn3Te8 from Alexandria. Energies are from PBE-GGA.

a = 9.4524 Å, b = 9.4524 Å, c = 9.4524 Å
α = 53.91°, β = 53.91°, γ = 53.91°
Fractional positions:
1 Ho 0.0000 0.5000 0.5000
2 Ho 0.5000 0.0000 0.5000
3 Ho 0.5000 0.5000 0.0000
4 Ti 0.0000 0.0000 0.0000
5 In 0.0000 0.0000 0.5000
6 In 0.0000 0.5000 0.0000
7 In 0.5000 0.0000 0.0000
8 Te 0.2256 0.2256 0.7596
9 Te 0.2256 0.7596 0.2256
10 Te 0.2404 0.7744 0.7744
11 Te 0.2589 0.2589 0.2589
12 Te 0.7411 0.7411 0.7411
13 Te 0.7596 0.2256 0.2256
14 Te 0.7744 0.2404 0.7744
15 Te 0.7744 0.7744 0.2404

Computed properties:
ΔE_f (raw)	-13.23	eV/f.u.

***

# 7
Here is a relaxed structure of SrAlTl2 from Alexandria. Energies are from PBE-GGA.

a = 5.4269 Å, b = 5.4269 Å, c = 5.4269 Å
α = 60.00°, β = 60.00°, γ = 60.00°
Fractional positions:
1 Sr 0.0000 0.0000 0.0000
2 Al 0.5000 0.5000 0.5000
3 Tl 0.2500 0.2500 0.2500
4 Tl 0.7500 0.7500 0.7500

Computed properties:
formation energy from the elements	-0.113	eV per atom

***

# 8
Here is a relaxed structure of HfNb2Al from Alexandria. Energies are from PBE-GGA.

a = 3.4116 Å, b = 4.3774 Å, c = 10.2529 Å
α = 90.00°, β = 99.30°, γ = 90.00°
Fractional positions:
1 Hf 0.1901 0.2500 0.3924
2 Hf 0.8099 0.7500 0.6076
3 Nb 0.0519 0.7500 0.1075
4 Nb 0.4361 0.7500 0.8671
5 Nb 0.5639 0.2500 0.1329
6 Nb 0.9481 0.2500 0.8925
7 Al 0.3432 0.2500 0.6762
8 Al 0.6567 0.7500 0.3238

Computed properties:
formation energy from the elements	-0.198	eV per atom

***

# 9
Here is a relaxed structure of Y2ScTlO from Alexandria. Energies are from PBE-GGA.

a = 4.8278 Å, b = 4.8278 Å, c = 4.4644 Å
α = 90.00°, β = 90.00°, γ = 90.00°
Fractional positions:
1 Y 0.0000 0.5000 0.0000
2 Y 0.5000 0.0000 0.0000
3 Sc 0.0000 0.0000 0.5000
4 Tl 0.5000 0.5000 0.5000
5 O 0.0000 0.0000 0.0000

Computed properties:
ΔE_f (raw)	-6.83	eV/f.u.

***

# 10
Here is a relaxed structure of TlZn2Br from Alexandria. Energies are from PBE-GGA.

a = 5.4041 Å, b = 3.9588 Å, c = 5.5439 Å
α = 90.00°, β = 107.48°, γ = 90.00°
Fractional positions:
1 Tl 0.0000 0.0000 0.0000
2 Zn 0.2075 0.5000 0.6931
3 Zn 0.7925 0.5000 0.3069
4 Br 0.5000 0.0000 0.5000

Computed properties:
ΔE_f (raw)	-0.18	eV/f.u.
distance to the lowest polymorph of the same formula	0.40	eV/f.u.

***

# 11
Here is a relaxed structure of Sr3TiMo from Alexandria. Energies are from PBE-GGA.

a = 5.7653 Å, b = 5.7653 Å, c = 5.7653 Å
α = 90.00°, β = 90.00°, γ = 90.00°
Fractional positions:
1 Sr 0.0000 0.0000 0.5000
2 Sr 0.0000 0.5000 0.0000
3 Sr 0.5000 0.0000 0.0000
4 Ti 0.5000 0.5000 0.5000
5 Mo 0.0000 0.0000 0.0000

Computed properties:
distance to the lowest polymorph of the same formula	0.00	eV/f.u.
formation energy from the elements	1.306	eV per atom

***

# 12
Here is a relaxed structure of PrPuCBr from Alexandria. Energies are from PBE-GGA.

a = 7.8569 Å, b = 7.8569 Å, c = 7.8569 Å
α = 27.36°, β = 27.36°, γ = 27.36°
Fractional positions:
1 Pr 0.0000 0.0000 0.0000
2 Pu 0.2107 0.2107 0.2107
3 C 0.6003 0.6003 0.6003
4 Br 0.7735 0.7735 0.7735

Computed properties:
ΔE_f (raw)	-2.73	eV/f.u.

***

# 13
Here is a relaxed structure of CoSiRu from Alexandria. Energies are from PBE-GGA.

a = 3.8687 Å, b = 3.8687 Å, c = 3.8687 Å
α = 60.00°, β = 60.00°, γ = 60.00°
Fractional positions:
1 Co 0.0000 0.0000 0.0000
2 Si 0.2500 0.2500 0.2500
3 Ru 0.5000 0.5000 0.5000

Computed properties:
ΔE_f (raw)	-0.59	eV/f.u.

***

# 14
Here is a relaxed structure of Sm2MgZn4 from Alexandria. Energies are from PBE-GGA.

a = 8.4967 Å, b = 8.4967 Å, c = 8.4967 Å
α = 33.03°, β = 33.03°, γ = 33.03°
Fractional positions:
1 Sm 0.2502 0.2502 0.2502
2 Sm 0.7498 0.7498 0.7498
3 Mg 0.5000 0.5000 0.5000
4 Zn 0.1257 0.1257 0.1257
5 Zn 0.3741 0.3741 0.3741
6 Zn 0.6259 0.6259 0.6259
7 Zn 0.8743 0.8743 0.8743

Computed properties:
formation energy from the elements	-0.122	eV per atom

***

# 15
Here is a relaxed structure of Ti2Tc2W from Alexandria. Energies are from PBE-GGA.

a = 6.3573 Å, b = 6.3573 Å, c = 6.3573 Å
α = 113.90°, β = 85.18°, γ = 132.75°
Fractional positions:
1 Ti 0.0921 0.1495 0.2416
2 Ti 0.4079 0.6495 0.0574
3 Ti 0.5921 0.3505 0.9426
4 Ti 0.9079 0.8505 0.7584
5 Tc 0.1759 0.7939 0.9698
6 Tc 0.3241 0.2939 0.6180
7 Tc 0.6759 0.7061 0.3820
8 Tc 0.8241 0.2061 0.0302
9 W 0.2500 0.7500 0.5000
10 W 0.7500 0.2500 0.5000

Computed properties:
distance to the lowest polymorph of the same formula	3.31	eV/f.u.
formation energy from the elements	0.294	eV per atom

***

# 16
Here is a relaxed structure of Pm2Dy5Sn4 from Alexandria. Energies are from PBE-GGA.

a = 13.4475 Å, b = 13.4475 Å, c = 7.4155 Å
α = 91.03°, β = 91.03°, γ = 14.99°
Fractional positions:
1 Pm 0.2351 0.2351 0.2228
2 Pm 0.7649 0.7649 0.7772
3 Dy 0.0892 0.0892 0.2946
4 Dy 0.1366 0.1366 0.8333
5 Dy 0.5000 0.5000 0.0000
6 Dy 0.8634 0.8634 0.1667
7 Dy 0.9108 0.9108 0.7054
8 Sn 0.0296 0.0296 0.6655
9 Sn 0.3288 0.3288 0.4954
10 Sn 0.6712 0.6712 0.5046
11 Sn 0.9704 0.9704 0.3345

Computed properties:
formation energy from the elements	-0.258	eV per atom

***

# 17
Here is a relaxed structure of LiNdNiSn2 from Alexandria. Energies are from PBE-GGA.

a = 6.3530 Å, b = 6.3530 Å, c = 6.3530 Å
α = 139.54°, β = 139.54°, γ = 58.56°
Fractional positions:
1 Li 0.0000 0.0000 0.0000
2 Nd 0.2500 0.7500 0.5000
3 Ni 0.5000 0.5000 0.0000
4 Sn 0.6212 0.1212 0.5000
5 Sn 0.8788 0.3788 0.5000

Computed properties:
formation energy from the elements	-0.502	eV per atom

***

# 18
Here is a relaxed structure of LiAlIn2Fe from Alexandria. Energies are from PBE-GGA.

a = 5.2318 Å, b = 5.2318 Å, c = 4.5102 Å
α = 90.00°, β = 90.00°, γ = 90.00°
Fractional positions:
1 Li 0.0000 0.0000 0.0000
2 Al 0.5000 0.5000 0.5000
3 In 0.0000 0.5000 0.5000
4 In 0.5000 0.0000 0.5000
5 Fe 0.5000 0.5000 0.0000

Computed properties:
formation energy from the elements	0.727	eV per atom

***

# 19
Here is a relaxed structure of LiCo2BAsAu from Alexandria. Energies are from PBE-GGA.

a = 4.1581 Å, b = 4.1935 Å, c = 5.2039 Å
α = 70.12°, β = 69.85°, γ = 76.23°
Fractional positions:
1 Li 0.0000 0.0000 0.0000
2 Co 0.0684 0.5639 0.5553
3 Co 0.6488 0.1425 0.5735
4 B 0.5483 0.6227 0.6140
5 As 0.2334 0.0818 0.4097
6 Au 0.5809 0.5832 0.0415

Computed properties:
distance to the lowest polymorph of the same formula	0.95	eV/f.u.
formation energy from the elements	-0.096	eV per atom

***

# 20
Here is a relaxed structure of NaScZn2 from Alexandria. Energies are from PBE-GGA.

a = 3.3850 Å, b = 3.3850 Å, c = 7.2338 Å
α = 90.00°, β = 90.00°, γ = 90.00°
Fractional positions:
1 Na 0.0000 0.0000 0.0000
2 Sc 0.0000 0.0000 0.5000
3 Zn 0.5000 0.5000 0.2823
4 Zn 0.5000 0.5000 0.7177

Computed properties:
distance to the lowest polymorph of the same formula	0.00	eV/f.u.
formation energy from the elements	-0.081	eV per atom

***

# 21
Here is a relaxed structure of MnIn2Ru from Alexandria. Energies are from PBE-GGA.

a = 4.8477 Å, b = 4.8477 Å, c = 4.9875 Å
α = 102.73°, β = 102.73°, γ = 39.27°
Fractional positions:
1 Mn 0.0000 0.0000 0.0000
2 In 0.2448 0.2448 0.7427
3 In 0.7552 0.7552 0.2573
4 Ru 0.5000 0.5000 0.5000

Computed properties:
distance to the lowest polymorph of the same formula	0.45	eV/f.u.
formation energy from the elements	0.241	eV per atom

***

# 22
Here is a relaxed structure of MnAg2H from Alexandria. Energies are from PBE-GGA.

a = 4.4057 Å, b = 4.4057 Å, c = 4.4057 Å
α = 60.00°, β = 60.00°, γ = 60.00°
Fractional positions:
1 Mn 0.0000 0.0000 0.0000
2 Ag 0.2500 0.2500 0.2500
3 Ag 0.7500 0.7500 0.7500
4 H 0.5000 0.5000 0.5000

Computed properties:
distance to the lowest polymorph of the same formula	1.36	eV/f.u.

***

# 23
Here is a relaxed structure of NaCdGePt from Alexandria. Energies are from PBE-GGA.

a = 4.6768 Å, b = 4.6768 Å, c = 4.6768 Å
α = 60.00°, β = 60.00°, γ = 60.00°
Fractional positions:
1 Na 0.0000 0.0000 0.0000
2 Cd 0.2500 0.2500 0.2500
3 Ge 0.7500 0.7500 0.7500
4 Pt 0.5000 0.5000 0.5000

Computed properties:
distance to the lowest polymorph of the same formula	0.21	eV/f.u.
formation energy from the elements	-0.209	eV per atom

***

# 24
Here is a relaxed structure of ThBIrRh2 from Alexandria. Energies are from PBE-GGA.

a = 4.3161 Å, b = 4.3161 Å, c = 4.2481 Å
α = 90.00°, β = 90.00°, γ = 90.00°
Fractional positions:
1 Th 0.0000 0.0000 0.0000
2 B 0.5000 0.5000 0.5000
3 Ir 0.5000 0.5000 0.0000
4 Rh 0.0000 0.5000 0.5000
5 Rh 0.5000 0.0000 0.5000

Computed properties:
formation energy from the elements	-0.832	eV per atom

***

# 25
Here is a relaxed structure of K4CdPb from Alexandria. Energies are from PBE-GGA.

a = 9.9648 Å, b = 9.9648 Å, c = 6.4939 Å
α = 100.41°, β = 100.41°, γ = 114.25°
Fractional positions:
1 K 0.0569 0.6831 0.9151
2 K 0.2472 0.3902 0.6607
3 K 0.3169 0.9431 0.5849
4 K 0.3902 0.2472 0.1607
5 K 0.6098 0.7528 0.8393
6 K 0.6831 0.0569 0.4151
7 K 0.7528 0.6098 0.3393
8 K 0.9431 0.3169 0.0849
9 Cd 0.0022 0.9978 0.2500
10 Cd 0.9978 0.0022 0.7500
11 Pb 0.3690 0.6310 0.2500
12 Pb 0.6310 0.3690 0.7500

Computed properties:
distance to the lowest polymorph of the same formula	0.00	eV/f.u.
formation energy from the elements	-0.044	eV per atom

***

Number 1: E -2.949 eV per atom, DOS at the Fermi energy 2.434 states/eV per atom. Number 2: E -5.778 eV per atom, DOS at the Fermi energy 0.822 states/eV per atom. Number 3: E -2.934 eV per atom, DOS at the Fermi energy 3.390 states/eV per atom. Number 4: E -5.382 eV per atom, DOS at the Fermi energy 0.754 states/eV per atom. Number 5: E -10.191 eV per atom, DOS at the Fermi energy 0.668 states/eV per atom. Number 6: E -4.547 eV per atom, DOS at the Fermi energy 0.172 states/eV per atom. Number 7: E -2.652 eV per atom, DOS at the Fermi energy 0.490 states/eV per atom. Number 8: E -8.657 eV per atom, DOS at the Fermi energy 0.800 states/eV per atom. Number 9: E -6.683 eV per atom, DOS at the Fermi energy 0.602 states/eV per atom. Number 10: E -1.692 eV per atom, DOS at the Fermi energy 0.245 states/eV per atom. Number 11: E -3.448 eV per atom, DOS at the Fermi energy 2.418 states/eV per atom. Number 12: E -8.184 eV per atom, DOS at the Fermi energy 1.774 states/eV per atom. Number 13: E -7.465 eV per atom, DOS at the Fermi energy 1.187 states/eV per atom. Number 14: E -2.426 eV per atom, DOS at the Fermi energy 0.543 states/eV per atom. Number 15: E -9.601 eV per atom, DOS at the Fermi energy 0.884 states/eV per atom. Number 16: E -4.670 eV per atom, DOS at the Fermi energy 0.993 states/eV per atom. Number 17: E -4.596 eV per atom, DOS at the Fermi energy 0.630 states/eV per atom. Number 18: E -3.192 eV per atom, DOS at the Fermi energy 1.256 states/eV per atom. Number 19: E -5.218 eV per atom, DOS at the Fermi energy 0.411 states/eV per atom. Number 20: E -2.631 eV per atom, DOS at the Fermi energy 0.928 states/eV per atom. Number 21: E -5.739 eV per atom, DOS at the Fermi energy 0.818 states/eV per atom. Number 22: E -3.784 eV per atom, DOS at the Fermi energy 0.434 states/eV per atom. Number 23: E -3.432 eV per atom, DOS at the Fermi energy 0.215 states/eV per atom. Number 24: E -8.364 eV per atom, DOS at the Fermi energy 0.088 states/eV per atom. Number 25: E -1.547 eV per atom, DOS at the Fermi energy 0.795 states/eV per atom.